(1)
A relaxed structure of Nd5SmHo2Th, computed with PBE.

Summary:
size of the total moment	0.000	μB per formula unit
space group	Cmc2_1 (36)
DFT formation energy	0.16	eV/atom
DOS(E_F)	13.413	states/eV/f.u.
crystal system	orthorhombic
E_tot	-43.7	eV per formula unit

Unit cell a=10.6589 b=10.6589 c=10.6113 alpha=90.00 beta=90.00 gamma=148.96
Element x y z (fractional)
Nd (0.0151, 0.9849, 0.5000)
Nd (0.2769, 0.7231, 0.7926)
Nd (0.2930, 0.7070, 0.1830)
Nd (0.3872, 0.6128, 0.5059)
Nd (0.4789, 0.5211, 0.2223)
Nd (0.5211, 0.4789, 0.7223)
Nd (0.6128, 0.3872, 0.0059)
Nd (0.7070, 0.2930, 0.6830)
Nd (0.7231, 0.2769, 0.2926)
Nd (0.9849, 0.0151, 0.0000)
Sm (0.4084, 0.5916, 0.9310)
Sm (0.5916, 0.4084, 0.4310)
Ho (0.1128, 0.8872, 0.2157)
Ho (0.1161, 0.8839, 0.7952)
Ho (0.8839, 0.1161, 0.2952)
Ho (0.8872, 0.1128, 0.7157)
Th (0.1988, 0.8012, 0.4914)
Th (0.8012, 0.1988, 0.9914)

---

(2)
A relaxed structure of NdSmHo5Th2, computed with PBE.

Summary:
size of the total moment	0.000	μB per formula unit
space group	I4/mcm (140)
DFT formation energy	0.33	eV/atom
DOS(E_F)	12.718	states/eV/f.u.
crystal system	tetragonal
E_tot	-44.3	eV per formula unit

Unit cell a=9.8631 b=9.8631 c=9.8631 alpha=126.52 beta=126.52 gamma=79.04
Element x y z (fractional)
Nd (0.2500, 0.2500, 0.0000)
Nd (0.7500, 0.7500, 0.0000)
Sm (0.2500, 0.7500, 0.5000)
Sm (0.7500, 0.2500, 0.5000)
Ho (0.0000, 0.0000, 0.0000)
Ho (0.0698, 0.5698, 0.9138)
Ho (0.1560, 0.0698, 0.5000)
Ho (0.3440, 0.8440, 0.9138)
Ho (0.4302, 0.3440, 0.5000)
Ho (0.5000, 0.5000, 0.0000)
Ho (0.5698, 0.6560, 0.5000)
Ho (0.6560, 0.1560, 0.0862)
Ho (0.8440, 0.9302, 0.5000)
Ho (0.9302, 0.4302, 0.0862)
Th (0.1185, 0.3815, 0.5000)
Th (0.3815, 0.8815, 0.2631)
Th (0.6185, 0.1185, 0.7369)
Th (0.8815, 0.6185, 0.5000)

---

(3)
A relaxed structure of Nd3Sm6HoTh2, computed with PBE.

Summary:
size of the total moment	0.000	μB per formula unit
space group	C2/m (12)
DFT formation energy	0.03	eV/atom
DOS(E_F)	17.505	states/eV/f.u.
crystal system	monoclinic
E_tot	-61.7	eV per formula unit

Unit cell a=6.2696 b=6.2696 c=12.0396 alpha=94.99 beta=94.99 gamma=119.93
Element x y z (fractional)
Nd (0.0000, 0.0000, 0.0000)
Nd (0.3332, 0.6668, 0.0000)
Nd (0.6668, 0.3332, 0.0000)
Sm (0.0821, 0.4188, 0.2558)
Sm (0.2446, 0.2446, 0.7446)
Sm (0.4188, 0.0821, 0.2558)
Sm (0.5812, 0.9179, 0.7442)
Sm (0.7554, 0.7554, 0.2554)
Sm (0.9179, 0.5812, 0.7442)
Ho (0.5000, 0.5000, 0.5000)
Th (0.1665, 0.8335, 0.5000)
Th (0.8335, 0.1665, 0.5000)

---

Q: What is the formula in the second record?
A: NdSmHo5Th2

---

Q: The lowest E_tot belongs to which entry?
A: Nd3Sm6HoTh2